[1]
A geometry-optimized DySc2Hg4 structure, computed with GGA-PBE.

Output
Energy relative to the elements in eV per atom: -0.345
VASP energy in eV per cell: -20.886

abc: 6.136 6.136 6.136
angles: 111.79 108.33 108.33
Element x y z (fractional)
Hg 0.500 0.000 0.000
Hg 0.000 0.500 0.000
Hg 0.500 0.500 0.500
Hg 0.000 0.000 0.500
Sc 0.500 0.000 0.500
Sc 0.500 0.500 0.000
Dy 0.000 0.000 0.000



[2]
A geometry-optimized Zn2MoOs structure, computed with GGA-PBE.

Output
Energy above the most stable polymorph in this dataset in meV per atom: 185
Energy relative to the elements in eV per atom: 0.232
VASP energy in eV per cell: -23.681

abc: 4.387 2.670 5.130
angles: 79.10 90.00 90.00
Element x y z (fractional)
Mo 0.500 0.250 0.250
Zn 0.000 0.558 0.501
Zn 0.000 0.942 0.999
Os 0.500 0.750 0.750



[3]
A geometry-optimized Sm3Ga2Cu9 structure, computed with GGA-PBE.

Output
Energy relative to the elements in eV per atom: -0.251
VASP energy in eV per cell: -60.587

abc: 4.259 7.961 7.961
angles: 66.90 74.48 74.48
Element x y z (fractional)
Cu 0.336 0.308 0.020
Cu 0.336 0.020 0.308
Cu 0.869 0.416 0.845
Cu 0.664 0.980 0.692
Cu 0.000 0.500 0.500
Cu 0.664 0.692 0.980
Cu 0.131 0.584 0.155
Cu 0.869 0.845 0.416
Cu 0.131 0.155 0.584
Sm 0.706 0.294 0.294
Sm 0.294 0.706 0.706
Sm 0.000 0.000 0.000
Ga 0.500 0.693 0.307
Ga 0.500 0.307 0.693



[4]
A geometry-optimized LiCaTeH structure, computed with GGA-PBE.

Output
Energy above the most stable polymorph in this dataset in meV per atom: 18
VASP energy in eV per cell: -42.223

abc: 4.301 4.301 16.124
angles: 90.00 90.00 120.00
Element x y z (fractional)
Li 0.000 0.000 0.861
Li 0.667 0.333 0.195
Li 0.333 0.667 0.528
H 0.333 0.667 0.639
H 0.000 0.000 0.972
H 0.667 0.333 0.305
Te 0.667 0.333 0.797
Te 0.333 0.667 0.130
Te 0.000 0.000 0.464
Ca 0.333 0.667 0.336
Ca 0.000 0.000 0.669
Ca 0.667 0.333 0.003



[5]
A geometry-optimized TcPPt4 structure, computed with GGA-PBE.

Output
Energy relative to the elements in eV per atom: 0.542
VASP energy in eV per cell: -36.689

abc: 5.249 5.249 5.249
angles: 60.00 60.00 60.00
Element x y z (fractional)
Tc 0.750 0.750 0.750
Pt 0.375 0.375 0.874
Pt 0.375 0.375 0.375
Pt 0.375 0.874 0.375
Pt 0.874 0.375 0.375
P 0.000 0.000 0.000



[6]
A geometry-optimized Th3Pd2Pt structure, computed with GGA-PBE.

Output
Energy relative to the elements in eV per atom: -0.794
VASP energy in eV per cell: -86.899

abc: 7.777 7.777 7.777
angles: 58.09 58.09 58.09
Element x y z (fractional)
Th 0.094 0.750 0.406
Th 0.906 0.250 0.594
Th 0.406 0.094 0.750
Th 0.750 0.406 0.094
Th 0.594 0.906 0.250
Th 0.250 0.594 0.906
Pd 0.172 0.172 0.172
Pd 0.828 0.828 0.828
Pd 0.672 0.672 0.672
Pd 0.328 0.328 0.328
Pt 0.000 0.000 0.000
Pt 0.500 0.500 0.500